{"formula": "Be2SiRu", "functional": "PBE", "state": "optimized geometry", "cell": [[-1.715, 1.715, 3.642], [1.715, -1.715, 3.642], [1.715, 1.715, -3.642]], "species": ["Be", "Be", "Si", "Ru"], "fractional_positions": [[0.000, 0.000, 0.000], [0.750, 0.250, 0.500], [0.250, 0.750, 0.500], [0.500, 0.500, 0.000]], "final_energy_ev_per_cell": -23.61, "magmom_total_mub_per_cell": 0.00, "raw_formation_energy_ev_per_atom": -0.36, "spacegroup": "I-4m2, No. 119"}

=====

{"formula": "SiBiSeN2", "functional": "PBE", "state": "optimized geometry", "cell": [[3.866, 0.000, 0.000], [0.000, 3.866, 0.000], [0.000, 0.000, 4.964]], "species": ["Si", "Bi", "Se", "N", "N"], "fractional_positions": [[0.000, 0.000, 0.000], [0.500, 0.500, 0.500], [0.000, 0.000, 0.500], [0.000, 0.500, 0.000], [0.500, 0.000, 0.000]], "relative_energy_mev_per_atom": 0, "final_energy_ev_per_cell": -25.97, "magmom_total_mub_per_cell": 0.57, "raw_formation_energy_ev_per_atom": 0.69, "spacegroup": "P4/mmm, No. 123"}

=====

{"formula": "P2PtSe2", "functional": "PBE", "state": "optimized geometry", "cell": [[-1.848, 3.470, 3.827], [1.848, -3.470, 3.827], [1.848, 3.470, -3.827]], "species": ["P", "P", "Pt", "Se", "Se"], "fractional_positions": [[0.240, 0.000, 0.240], [0.760, 0.000, 0.760], [0.000, 0.500, 0.500], [0.258, 0.258, 0.000], [0.742, 0.742, 0.000]], "relative_energy_mev_per_atom": 264, "final_energy_ev_per_cell": -22.52, "magmom_total_mub_per_cell": 0.00, "raw_formation_energy_ev_per_atom": 0.26, "spacegroup": "Immm, No. 71"}

=====

{"formula": "HAuSe", "functional": "PBE", "state": "optimized geometry", "cell": [[4.549, 0.000, 0.000], [-1.880, 4.285, 0.000], [-2.042, -1.527, 6.611]], "species": ["H", "H", "Au", "Au", "Se", "Se"], "fractional_positions": [[0.239, 0.305, 0.341], [0.761, 0.695, 0.659], [0.000, 0.500, 0.500], [0.500, 0.500, 0.000], [0.425, 0.158, 0.244], [0.575, 0.842, 0.756]], "relative_energy_mev_per_atom": 25, "final_energy_ev_per_cell": -20.51, "magmom_total_mub_per_cell": 0.00, "spacegroup": "P-1, No. 2"}

=====

{"formula": "CsCu2Ag2I7", "functional": "PBE", "state": "optimized geometry", "cell": [[3.818, 2.205, 12.739], [-3.818, 2.205, 12.739], [0.000, -4.409, 12.739]], "species": ["Cs", "Cu", "Cu", "Ag", "Ag", "I", "I", "I", "I", "I", "I", "I"], "fractional_positions": [[0.000, 0.000, 0.000], [0.431, 0.431, 0.431], [0.569, 0.569, 0.569], [0.251, 0.251, 0.251], [0.749, 0.749, 0.749], [0.103, 0.386, 0.754], [0.246, 0.614, 0.897], [0.386, 0.754, 0.103], [0.500, 0.500, 0.500], [0.614, 0.897, 0.246], [0.754, 0.103, 0.386], [0.897, 0.246, 0.614]], "final_energy_ev_per_cell": -29.59, "magmom_total_mub_per_cell": 1.10, "raw_formation_energy_ev_per_atom": -0.33, "spacegroup": "R32, No. 155"}

=====

{"formula": "TiH", "functional": "PBE", "state": "optimized geometry", "cell": [[8.413, 0.000, 0.000], [0.000, 2.900, 0.000], [0.000, 0.000, 4.741]], "species": ["Ti", "Ti", "Ti", "Ti", "Ti", "Ti", "H", "H", "H", "H", "H", "H"], "fractional_positions": [[0.000, 0.010, 0.000], [0.165, 0.638, 0.484], [0.335, 0.362, 0.984], [0.500, 0.990, 0.500], [0.665, 0.362, 0.984], [0.835, 0.638, 0.484], [0.000, 0.525, 0.742], [0.209, 0.879, 0.848], [0.291, 0.121, 0.348], [0.500, 0.475, 0.242], [0.709, 0.121, 0.348], [0.791, 0.879, 0.848]], "final_energy_ev_per_cell": -70.92, "magmom_total_mub_per_cell": 0.00, "spacegroup": "Pmn2_1, No. 31"}

=====

{"formula": "Ce3ErOs8", "functional": "PBE", "state": "optimized geometry", "cell": [[2.691, 1.553, 8.794], [-2.691, 1.553, 8.794], [0.000, -3.107, 8.794]], "species": ["Ce", "Ce", "Ce", "Er", "Os", "Os", "Os", "Os", "Os", "Os", "Os", "Os"], "fractional_positions": [[0.000, 0.000, 0.000], [0.125, 0.125, 0.125], [0.499, 0.499, 0.499], [0.624, 0.624, 0.624], [0.059, 0.562, 0.562], [0.062, 0.062, 0.565], [0.062, 0.565, 0.062], [0.311, 0.311, 0.311], [0.562, 0.059, 0.562], [0.562, 0.562, 0.059], [0.565, 0.062, 0.062], [0.812, 0.812, 0.812]], "final_energy_ev_per_cell": -115.25, "magmom_total_mub_per_cell": 0.00, "delta_e_f_ev_per_atom": -0.25, "spacegroup": "R3m, No. 160"}

=====

{"formula": "HoLuSn", "functional": "PBE", "state": "optimized geometry", "cell": [[-1.756, 1.756, 6.702], [1.756, -1.756, 6.702], [1.756, 1.756, -6.702]], "species": ["Ho", "Lu", "Sn"], "fractional_positions": [[0.000, 0.000, 0.000], [0.685, 0.685, 0.000], [0.341, 0.341, 0.000]], "relative_energy_mev_per_atom": 0, "final_energy_ev_per_cell": -14.36, "magmom_total_mub_per_cell": 0.00, "delta_e_f_ev_per_atom": -0.42, "spacegroup": "I4mm, No. 107"}

=====

{"formula": "Hg3MoS", "functional": "PBE", "state": "optimized geometry", "cell": [[5.247, 0.000, 0.000], [0.000, 5.247, 0.000], [0.000, 0.000, 5.247]], "species": ["Hg", "Hg", "Hg", "Mo", "S"], "fractional_positions": [[0.000, 0.000, 0.500], [0.000, 0.500, 0.000], [0.500, 0.000, 0.000], [0.500, 0.500, 0.500], [0.000, 0.000, 0.000]], "relative_energy_mev_per_atom": 61, "final_energy_ev_per_cell": -9.98, "magmom_total_mub_per_cell": 5.06, "raw_formation_energy_ev_per_atom": 1.18, "spacegroup": "Pm-3m, No. 221"}

=====

{"formula": "Tb5Er12Th2", "functional": "PBE", "state": "optimized geometry", "cell": [[6.043, 0.000, 0.000], [0.209, 9.552, 0.000], [1.568, 3.822, 10.452]], "species": ["Tb", "Tb", "Tb", "Tb", "Tb", "Er", "Er", "Er", "Er", "Er", "Er", "Er", "Er", "Er", "Er", "Er", "Er", "Th", "Th"], "fractional_positions": [[0.000, 0.000, 0.000], [0.106, 0.956, 0.342], [0.491, 0.552, 0.831], [0.509, 0.448, 0.169], [0.894, 0.044, 0.658], [0.036, 0.688, 0.655], [0.079, 0.312, 0.045], [0.175, 0.320, 0.725], [0.380, 0.911, 0.786], [0.422, 0.816, 0.102], [0.430, 0.188, 0.485], [0.570, 0.812, 0.515], [0.578, 0.184, 0.898], [0.620, 0.089, 0.214], [0.825, 0.680, 0.275], [0.921, 0.688, 0.955], [0.964, 0.312, 0.345], [0.276, 0.566, 0.420], [0.724, 0.434, 0.580]], "relative_energy_mev_per_atom": 0, "final_energy_ev_per_cell": -90.43, "magmom_total_mub_per_cell": 0.00, "delta_e_f_ev_per_atom": 0.12, "spacegroup": "P-1, No. 2"}

=====

{"formula": "Sc2TlPd", "functional": "PBE", "state": "optimized geometry", "cell": [[4.810, 0.000, 0.000], [0.000, 4.810, 0.000], [0.000, 0.000, 3.574]], "species": ["Sc", "Sc", "Tl", "Pd"], "fractional_positions": [[0.000, 0.500, 0.000], [0.500, 0.000, 0.000], [0.000, 0.000, 0.500], [0.500, 0.500, 0.500]], "final_energy_ev_per_cell": -22.32, "magmom_total_mub_per_cell": 0.00, "delta_e_f_ev_per_atom": -0.52, "spacegroup": "P4/mmm, No. 123"}

=====

{"formula": "LaY2Re", "functional": "PBE", "state": "optimized geometry", "cell": [[0.000, 3.684, 3.684], [3.684, 0.000, 3.684], [3.684, 3.684, 0.000]], "species": ["La", "Y", "Y", "Re"], "fractional_positions": [[0.000, 0.000, 0.000], [0.250, 0.250, 0.250], [0.750, 0.750, 0.750], [0.500, 0.500, 0.500]], "relative_energy_mev_per_atom": 198, "final_energy_ev_per_cell": -28.83, "magmom_total_mub_per_cell": 0.00, "delta_e_f_ev_per_atom": 0.37, "spacegroup": "Fm-3m, No. 225"}